Record 1
Material: ScTl2
Method: DFT, GGA-PBEsol
State: relaxed

Properties
D(E_F) in states/eV/atom: 0.8440
ΔE_f in meV per atom: -193.5
Total DFT energy (no corrections) in eV/cell: -49.78

a b c (Å): 4.4095 6.2695 10.2036
angles (deg): 90.00 90.00 90.00
Sites, in units of the cell vectors:
Sc 0.2500 0.6412 0.6019
Sc 0.7500 0.8588 0.1019
Sc 0.2500 0.1412 0.8981
Sc 0.7500 0.3588 0.3981
Tl 0.2500 0.6406 0.9305
Tl 0.2500 0.1120 0.2307
Tl 0.7500 0.3594 0.0695
Tl 0.7500 0.3880 0.7307
Tl 0.2500 0.6120 0.2693
Tl 0.7500 0.8594 0.4305
Tl 0.2500 0.1406 0.5695
Tl 0.7500 0.8880 0.7693

***

Record 2
Material: Ta2AgS4
Method: DFT, GGA-PBEsol
State: relaxed

Properties
D(E_F) in states/eV/atom: 0.3783
Total DFT energy (no corrections) in eV/cell: -52.27
Uncorrected formation energy in eV per atom: -0.902

a b c (Å): 3.3328 3.3328 12.8900
angles (deg): 90.00 90.00 120.00
Sites, in units of the cell vectors:
Ta 0.0000 0.0000 0.2284
Ta 0.0000 0.0000 0.7716
S 0.3333 0.6667 0.8889
S 0.6667 0.3333 0.3499
S 0.6667 0.3333 0.1111
S 0.3333 0.6667 0.6501
Ag 0.0000 0.0000 0.5000

***

Record 3
Material: ReP
Method: DFT, GGA-PBEsol
State: relaxed

Properties
D(E_F) in states/eV/atom: 0.5803
ΔE_f in meV per atom: -361.1
Total DFT energy (no corrections) in eV/cell: -79.38
Offset from the most stable computed form in eV/atom: 0.000

a b c (Å): 3.0303 5.8024 6.1531
angles (deg): 90.00 90.00 90.00
Sites, in units of the cell vectors:
Re 0.7500 0.5244 0.8032
Re 0.2500 0.9756 0.3032
Re 0.7500 0.0244 0.6968
Re 0.2500 0.4756 0.1968
P 0.7500 0.6859 0.4409
P 0.2500 0.8141 0.9409
P 0.2500 0.3141 0.5591
P 0.7500 0.1859 0.0591

***

Record 4
Material: ZrAlTc2
Method: DFT, GGA-PBEsol
State: relaxed

Properties
D(E_F) in states/eV/atom: 0.9910
ΔE_f in meV per atom: -329.0
Total DFT energy (no corrections) in eV/cell: -37.03

a b c (Å): 3.1433 4.3347 5.3197
angles (deg): 114.04 107.18 90.00
Sites, in units of the cell vectors:
Tc 0.7379 0.2379 0.4758
Tc 0.0076 0.0076 0.0152
Zr 0.4904 0.4904 0.9808
Al 0.2641 0.7641 0.5281

***

Record 5
Material: MgWF5
Method: DFT, GGA-PBEsol
State: relaxed

Properties
D(E_F) in states/eV/atom: 0.0218
Total DFT energy (no corrections) in eV/cell: -85.37
Uncorrected formation energy in eV per atom: -2.503
Offset from the most stable computed form in eV/atom: 0.000

a b c (Å): 5.2881 5.2881 7.3806
angles (deg): 73.14 73.14 75.47
Last column: magnetic moment on the atom in μB.
Sites, in units of the cell vectors:
F 0.2997 0.6764 0.9534  0.03
F 0.8516 0.1484 0.7500  0.03
F 0.6764 0.2997 0.4534  0.03
F 0.7013 0.7899 0.1537  0.05
F 0.3236 0.7003 0.5466  0.03
F 0.2101 0.2987 0.3463  0.05
F 0.7899 0.7013 0.6537  0.05
F 0.2987 0.2101 0.8463  0.05
F 0.1484 0.8516 0.2500  0.03
F 0.7003 0.3236 0.0466  0.03
W 0.0000 0.0000 0.5000  2.33
W 0.0000 0.0000 0.0000  2.33
Mg 0.5198 0.4802 0.7500  0.00
Mg 0.4802 0.5198 0.2500  0.00

***

Record 6
Material: Be2IrAu
Method: DFT, GGA-PBEsol
State: relaxed

Properties
D(E_F) in states/eV/atom: 0.2897
ΔE_f in meV per atom: -199.7
Total DFT energy (no corrections) in eV/cell: -22.55

a b c (Å): 2.9571 3.3060 5.4596
angles (deg): 107.62 105.71 90.00
Sites, in units of the cell vectors:
Be 0.7942 0.2942 0.5884
Be 0.0310 0.0310 0.0619
Ir 0.4629 0.4629 0.9258
Au 0.2120 0.7120 0.4239

***

Record 7
Material: TlHg3
Method: DFT, GGA-PBEsol
State: relaxed

Properties
D(E_F) in states/eV/atom: 0.2665
ΔE_f in meV per atom: -27.0
Total DFT energy (no corrections) in eV/cell: -4.44

a b c (Å): 4.6789 4.6789 5.6299
angles (deg): 114.55 114.55 90.00
Sites, in units of the cell vectors:
Hg 0.2500 0.7500 0.5000
Hg 0.7500 0.2500 0.5000
Hg 0.5000 0.5000 0.0000
Tl 0.0000 0.0000 0.0000

***

Record 8
Material: Ba3ScTa
Method: DFT, GGA-PBEsol
State: relaxed

Properties
D(E_F) in states/eV/atom: 1.9990
ΔE_f in meV per atom: 1625.0
Total DFT energy (no corrections) in eV/cell: -17.48

a b c (Å): 6.0072 6.0072 6.0072
angles (deg): 90.00 90.00 90.00
Last column: magnetic moment on the atom in μB.
Sites, in units of the cell vectors:
Ta 0.5000 0.5000 0.5000  2.13
Sc 0.0000 0.0000 0.0000  -0.62
Ba 0.0000 0.0000 0.5000  -0.06
Ba 0.0000 0.5000 0.0000  -0.06
Ba 0.5000 0.0000 0.0000  -0.06

***

Record 9
Material: NbTl2Cl
Method: DFT, GGA-PBEsol
State: relaxed

Properties
D(E_F) in states/eV/atom: 1.3824
Total DFT energy (no corrections) in eV/cell: -15.37
Uncorrected formation energy in eV per atom: 0.680

a b c (Å): 5.0849 5.0849 5.0849
angles (deg): 60.00 60.00 60.00
Last column: magnetic moment on the atom in μB.
Sites, in units of the cell vectors:
Nb 0.5000 0.5000 0.5000  1.42
Tl 0.2500 0.2500 0.2500  0.01
Tl 0.7500 0.7500 0.7500  0.01
Cl 0.0000 0.0000 0.0000  0.02

***

Record 10
Material: ZrBeHg2
Method: DFT, GGA-PBEsol
State: relaxed

Properties
D(E_F) in states/eV/atom: 0.3170
ΔE_f in meV per atom: 72.1
Total DFT energy (no corrections) in eV/cell: -13.94

a b c (Å): 3.2490 4.4986 5.9945
angles (deg): 111.94 90.00 111.17
Sites, in units of the cell vectors:
Hg 0.9457 0.8914 0.8682
Hg 0.7537 0.5074 0.2207
Be 0.2421 0.4843 0.8896
Zr 0.5585 0.1169 0.5214

***

Record 11
Material: K4ZrNi
Method: DFT, GGA-PBEsol
State: relaxed

Properties
D(E_F) in states/eV/atom: 2.3512
ΔE_f in meV per atom: 1346.9
Total DFT energy (no corrections) in eV/cell: -11.70

a b c (Å): 6.8166 6.8166 6.8166
angles (deg): 60.00 60.00 60.00
Last column: magnetic moment on the atom in μB.
Sites, in units of the cell vectors:
Zr 0.0000 0.0000 0.0000  1.57
K 0.3763 0.3763 0.3763  0.03
K 0.3763 0.8712 0.3763  0.03
K 0.3763 0.3763 0.8712  0.03
K 0.8712 0.3763 0.3763  0.03
Ni 0.7500 0.7500 0.7500  -0.54

***

Record 12
Material: TaCo2
Method: DFT, GGA-PBEsol
State: relaxed

Properties
D(E_F) in states/eV/atom: 0.5446
ΔE_f in meV per atom: -264.5
Total DFT energy (no corrections) in eV/cell: -115.28

a b c (Å): 3.5979 3.5979 11.6492
angles (deg): 98.88 98.88 90.00
Sites, in units of the cell vectors:
Co 0.7508 0.7508 0.5015
Co 0.4992 0.9992 0.9985
Co 0.5810 0.5810 0.1620
Co 0.8310 0.3310 0.6620
Co 0.0008 0.5008 0.0015
Co 0.4190 0.4190 0.8380
Co 0.6690 0.1690 0.3380
Co 0.2492 0.2492 0.4985
Ta 0.1740 0.6740 0.3481
Ta 0.9240 0.9240 0.8481
Ta 0.3260 0.8260 0.6519
Ta 0.0760 0.0760 0.1519